LiBe2Se | PBE | relaxed

Computed properties:
Crystal system ... tetragonal
Volume ... 53.2 Å³/cell
DOS at the Fermi energy ... 0.56 states/eV/f.u.
Energy ... -12.44 eV/cell
E_form (uncorrected) ... 0.10 eV per atom

Unit cell a=3.227 b=3.227 c=5.112 alpha=90.00 beta=90.00 gamma=90.00
Sites, in units of the cell vectors:
Be: 0.000 0.000 0.019
Be: 0.500 0.500 0.205
Li: 0.000 0.000 0.502
Se: 0.500 0.500 0.775